(1)
Material: HfMgAsBr2
Method: DFT, PBE-GGA
State: relaxed

Results
E_form (uncorrected) (kJ per mole of atoms): -37.6
Magnetization (μB per formula unit): 0.00
E_tot (eV/atom): -4.30

Lattice parameters (Å, degrees): 5.2099 5.2099 5.3500 90.00 90.00 90.00
With the nearest neighbours (Å) after each atom.
Space group P4/mmm (No. 123)
One atom of each set of equivalent atoms:
1 Hf 0.0000 0.0000 0.0000 (multiplicity 1)  4 Br 2.60, 2 As 2.67
2 Mg 0.5000 0.5000 0.5000 (multiplicity 1)  4 As 3.68, 8 Br 3.73
3 As 0.0000 0.0000 0.5000 (multiplicity 1)  2 Hf 2.67
4 Br 0.0000 0.5000 0.0000 (multiplicity 2)  2 Hf 2.60

=====

(2)
Material: MgZrScTi
Method: DFT, PBE-GGA
State: relaxed

Results
Energy of formation (meV per atom): 18
Magnetization (μB per formula unit): 0.00
E_tot (eV/atom): -6.07

Lattice parameters (Å, degrees): 3.1213 3.1213 8.8748 90.00 90.00 90.00
With the nearest neighbours (Å) after each atom.
Space group P4mm (No. 99)
One atom of each set of equivalent atoms:
1 Mg 0.0000 0.0000 0.0000 (multiplicity 1)  4 Mg 3.12, 4 Zr 3.24, 4 Sc 3.26
2 Zr 0.5000 0.5000 0.7331 (multiplicity 1)  4 Ti 3.02, 4 Zr 3.12, 4 Mg 3.24
3 Sc 0.5000 0.5000 0.2708 (multiplicity 1)  4 Ti 3.01, 4 Sc 3.12, 4 Mg 3.26
4 Ti 0.0000 0.0000 0.5013 (multiplicity 1)  4 Sc 3.01, 4 Zr 3.02, 4 Ti 3.12

=====

(3)
Material: BaHf4B2
Method: DFT, PBE-GGA
State: relaxed

Results
Energy of formation (meV per atom): 1347
Magnetization (μB per formula unit): 0.00
E_tot (eV/atom): -6.52

Lattice parameters (Å, degrees): 5.1608 5.1608 11.8561 90.00 90.00 90.00
With the nearest neighbours (Å) after each atom.
Space group I4/mmm (No. 139)
One atom of each set of equivalent atoms:
1 Ba 0.0000 0.0000 0.0000 (multiplicity 2)  4 Hf 2.58
2 Hf 0.0000 0.0000 0.2525 (multiplicity 4)  1 B 2.15
3 Hf 0.0000 0.5000 0.0000 (multiplicity 4)  2 Ba 2.58, 4 B 2.70
4 B 0.0000 0.0000 0.4339 (multiplicity 4)  1 B 1.57

=====

(4)
Material: MgTiP2Cl
Method: DFT, PBE-GGA
State: relaxed

Results
E_form (uncorrected) (kJ per mole of atoms): 43.4
Magnetization (μB per formula unit): 0.21
E_tot (eV/atom): -3.98

Lattice parameters (Å, degrees): 4.7973 4.7973 4.6358 90.00 90.00 90.00
With the nearest neighbours (Å) after each atom.
Space group P4/mmm (No. 123)
One atom of each set of equivalent atoms:
1 Mg 0.0000 0.0000 0.0000 (multiplicity 1)  2 Cl 2.32, 4 P 2.40
2 Ti 0.5000 0.5000 0.5000 (multiplicity 1)  8 P 3.34, 4 Cl 3.39
3 P 0.0000 0.5000 0.0000 (multiplicity 2)  2 Mg 2.40
4 Cl 0.0000 0.0000 0.5000 (multiplicity 1)  2 Mg 2.32

=====

(5)
Material: Sc2PbWC
Method: DFT, PBE-GGA
State: relaxed

Results
Energy of formation (meV per atom): -273
Magnetization (μB per formula unit): 0.00
E_tot (eV/atom): -7.98

Lattice parameters (Å, degrees): 4.6521 4.6521 4.1121 90.00 90.00 90.00
With the nearest neighbours (Å) after each atom.
Space group P4/mmm (No. 123)
One atom of each set of equivalent atoms:
1 Sc 0.0000 0.5000 0.0000 (multiplicity 2)  2 C 2.33
2 Pb 0.0000 0.0000 0.5000 (multiplicity 1)  8 Sc 3.10, 4 W 3.29
3 W 0.5000 0.5000 0.5000 (multiplicity 1)  2 C 2.06
4 C 0.5000 0.5000 0.0000 (multiplicity 1)  2 W 2.06

=====

(6)
Material: HgAs2Ru
Method: DFT, PBE-GGA
State: relaxed

Results
Energy of formation (meV per atom): 144
Magnetization (μB per formula unit): 0.00
E_tot (eV/atom): -4.57

Lattice parameters (Å, degrees): 2.9426 3.8398 7.6120 90.00 90.00 90.00
With the nearest neighbours (Å) after each atom.
Space group Pmm2 (No. 25)
One atom of each set of equivalent atoms:
1 Hg 0.0000 0.0000 0.0000 (multiplicity 1)  5 As 2.74-3.05, 2 Hg 2.94
2 As 0.0000 0.0000 0.3606 (multiplicity 1)  4 Ru 2.51, 1 Hg 2.74
3 As 0.5000 0.5000 0.7562 (multiplicity 1)  1 Ru 2.33
4 Ru 0.5000 0.5000 0.4503 (multiplicity 1)  5 As 2.33-2.51

=====

(7)
Material: Tl2CdPb4
Method: DFT, PBE-GGA
State: relaxed

Results
Energy of formation (meV per atom): 19
Magnetization (μB per formula unit): 0.00
E_tot (eV/atom): -2.91

Lattice parameters (Å, degrees): 3.5461 35.0302 3.4590 90.00 90.00 90.00
With the nearest neighbours (Å) after each atom.
Space group Cmmm (No. 65)
One atom of each set of equivalent atoms:
1 Tl 0.0000 0.2079 0.0000 (multiplicity 4)  6 Tl 3.44-3.55, 4 Pb 3.52
2 Cd 0.0000 0.5000 0.5000 (multiplicity 2)  8 Pb 3.32, 4 Cd 3.46-3.55
3 Pb 0.0000 0.0631 0.0000 (multiplicity 4)  4 Cd 3.32, 8 Pb 3.46-3.56
4 Pb 0.0000 0.3637 0.5000 (multiplicity 4)  8 Pb 3.46-3.56, 4 Tl 3.52

=====

(8)
Material: CsTaO2
Method: DFT, PBE-GGA
State: relaxed

Results
E_form (uncorrected) (kJ per mole of atoms): 9.3
Magnetization (μB per formula unit): 0.00
E_tot (eV/atom): -5.56

Lattice parameters (Å, degrees): 6.1281 6.1281 6.1281 90.00 90.00 90.00
With the nearest neighbours (Å) after each atom.
Space group Fm-3m (No. 225)
One atom of each set of equivalent atoms:
1 Cs 0.0000 0.0000 0.0000 (multiplicity 4)  8 O 2.65
2 Ta 0.0000 0.0000 0.5000 (multiplicity 4)  8 O 2.65
3 O 0.2500 0.2500 0.2500 (multiplicity 8)  4 Ta 2.65, 4 Cs 2.65

=====

(9)
Material: NiAg2Cl
Method: DFT, PBE-GGA
State: relaxed

Results
E_form (uncorrected) (kJ per mole of atoms): 16.2
Magnetization (μB per formula unit): 0.62
E_tot (eV/atom): -3.16

Lattice parameters (Å, degrees): 3.1968 3.1968 6.7764 90.00 90.00 90.00
With the nearest neighbours (Å) after each atom.
Space group P4/mmm (No. 123)
One atom of each set of equivalent atoms:
1 Ni 0.0000 0.0000 0.0000 (multiplicity 1)  8 Ag 2.70
2 Ag 0.5000 0.5000 0.2171 (multiplicity 2)  4 Ni 2.70, 1 Ag 2.94, 4 Cl 2.96
3 Cl 0.0000 0.0000 0.5000 (multiplicity 1)  8 Ag 2.96, 4 Cl 3.20

=====

(10)
Material: KCoPbCl5
Method: DFT, PBE-GGA
State: relaxed

Results
E_form (uncorrected) (kJ per mole of atoms): -110.1
Magnetization (μB per formula unit): 3.00
E_tot (eV/atom): -3.78

Lattice parameters (Å, degrees): 9.1220 12.1674 10.1319 90.00 113.29 90.00
With the nearest neighbours (Å) after each atom.
Space group C2/c (No. 15)
One atom of each set of equivalent atoms:
1 K 0.0000 0.1466 0.2500 (multiplicity 4)  5 Cl 3.06-3.23
2 Co 0.0000 0.1837 0.7500 (multiplicity 4)  4 Cl 2.27
3 Pb 0.0000 0.5000 0.0000 (multiplicity 4)  6 Cl 2.82-2.98
4 Cl 0.0000 0.3982 0.2500 (multiplicity 4)  2 Pb 2.82, 1 K 3.06
5 Cl 0.1269 0.2890 0.6436 (multiplicity 8)  1 Co 2.27
6 Cl 0.1645 0.0715 0.9256 (multiplicity 8)  1 Co 2.27

=====

(11)
Material: NaHSCl2
Method: DFT, PBE-GGA
State: relaxed

Results
Magnetization (μB per formula unit): 1.15
E_tot (eV/atom): -2.71

Lattice parameters (Å, degrees): 5.2049 5.2049 3.3134 90.00 90.00 90.00
With the nearest neighbours (Å) after each atom.
Space group P4/mmm (No. 123)
One atom of each set of equivalent atoms:
1 Na 0.0000 0.0000 0.0000 (multiplicity 1)  8 Cl 3.09, 2 Na 3.31
2 H 0.5000 0.5000 0.5000 (multiplicity 1)  2 S 1.66
3 S 0.5000 0.5000 0.0000 (multiplicity 1)  2 H 1.66
4 Cl 0.0000 0.5000 0.5000 (multiplicity 2)  2 H 2.60

=====

(12)
Material: Th2Co4SiGe3
Method: DFT, PBE-GGA
State: relaxed

Results
E_form (uncorrected) (kJ per mole of atoms): -62.7
Magnetization (μB per formula unit): 0.00
E_tot (eV/atom): -6.90

Lattice parameters (Å, degrees): 4.0906 4.0906 9.7444 90.00 90.00 90.00
With the nearest neighbours (Å) after each atom.
Space group P-4m2 (No. 115)
One atom of each set of equivalent atoms:
1 Th 0.0000 0.5000 0.2455 (multiplicity 2)  8 Co 3.13-3.21, 6 Ge 3.14-3.15, 2 Si 3.15
2 Co 0.0000 0.0000 0.5000 (multiplicity 1)  4 Ge 2.41
3 Co 0.0000 0.5000 0.8759 (multiplicity 2)  3 Ge 2.38-2.40, 2 Si 2.38
4 Co 0.5000 0.5000 0.5000 (multiplicity 1)  4 Ge 2.41
5 Si 0.5000 0.5000 0.0000 (multiplicity 1)  4 Co 2.38
6 Ge 0.0000 0.0000 0.0000 (multiplicity 1)  4 Co 2.38
7 Ge 0.0000 0.5000 0.6299 (multiplicity 2)  5 Co 2.40-2.41

=====

(13)
Material: K2Sr2RhO6
Method: DFT, PBE-GGA
State: relaxed

Results
E_form (uncorrected) (kJ per mole of atoms): -155.1
Magnetization (μB per formula unit): 2.98
E_tot (eV/atom): -5.49

Lattice parameters (Å, degrees): 6.1531 10.3289 6.5551 90.00 105.27 90.00
With the nearest neighbours (Å) after each atom.
Space group C2/m (No. 12)
One atom of each set of equivalent atoms:
1 K 0.0000 0.1577 0.0000 (multiplicity 4)  4 O 2.67-2.69
2 Sr 0.0000 0.3375 0.5000 (multiplicity 4)  6 O 2.48-2.51
3 Rh 0.0000 0.0000 0.5000 (multiplicity 2)  6 O 2.00
4 O 0.1858 0.1389 0.6759 (multiplicity 8)  1 Rh 2.00
5 O 0.2125 0.0000 0.3164 (multiplicity 4)  1 Rh 2.00

=====

The calculation returns the following density values, one per record and in order: 5.0; 4.0; 9.2; 2.6; 9.2; 8.7; 10.4; 10.0; 7.4; 3.1; 2.3; 9.6; 3.7 g cm⁻³.